Entry 1:
This record from the Alexandria database describes a relaxed structure of SrY2Sc2. The functional is PBE.

- Calculated formation energy: 0.14 eV per atom
- Fermi-level density of states: 4.86 states/eV/f.u.
- SG: No. 127

Cell lengths 9.550, 9.550, 3.538 Å; angles 90.00, 90.00, 90.00 degrees
Positions (direct):
Sr  0.500  0.500  0.000
Sr  0.000  0.000  0.000
Y  0.825  0.325  0.500
Y  0.675  0.825  0.500
Y  0.325  0.175  0.500
Y  0.175  0.675  0.500
Sc  0.114  0.386  0.000
Sc  0.386  0.886  0.000
Sc  0.886  0.614  0.000
Sc  0.614  0.114  0.000


Entry 2:
This record from the Alexandria database describes a relaxed structure of LuBi2Pb. The functional is PBE.

- Calculated formation energy: -0.17 eV per atom
- Fermi-level density of states: 1.91 states/eV/f.u.
- SG: No. 225

Cell lengths 5.570, 5.570, 5.570 Å; angles 60.00, 60.00, 60.00 degrees
Positions (direct):
Bi  0.250  0.250  0.250
Bi  0.750  0.750  0.750
Pb  0.500  0.500  0.500
Lu  0.000  0.000  0.000


Entry 3:
This record from the Alexandria database describes a relaxed structure of CeHfZr3. The functional is PBE.

- Calculated formation energy: 0.19 eV per atom
- Fermi-level density of states: 7.76 states/eV/f.u.
- SG: No. 11

Cell lengths 5.994, 8.084, 10.162 Å; angles 90.00, 90.00, 82.99 degrees
Positions (direct):
Hf  0.048  0.915  0.750
Hf  0.952  0.085  0.250
Hf  0.684  0.779  0.250
Hf  0.316  0.221  0.750
Zr  0.161  0.271  0.474
Zr  0.335  0.565  0.605
Zr  0.720  0.111  0.952
Zr  0.161  0.271  0.026
Zr  0.335  0.565  0.895
Zr  0.280  0.889  0.452
Zr  0.665  0.435  0.105
Zr  0.665  0.435  0.395
Zr  0.280  0.889  0.048
Zr  0.720  0.111  0.548
Zr  0.839  0.729  0.526
Zr  0.839  0.729  0.974
Ce  0.530  0.866  0.750
Ce  0.169  0.571  0.250
Ce  0.470  0.134  0.250
Ce  0.831  0.429  0.750


Entry 4:
This record from the Alexandria database describes a relaxed structure of Ta4Nb5Fe. The functional is PBE.

- Calculated formation energy: 0.20 eV per atom
- Fermi-level density of states: 9.60 states/eV/f.u.
- SG: No. 2

Cell lengths 4.954, 5.482, 8.423 Å; angles 112.50, 119.94, 72.82 degrees
Positions (direct):
Ta  0.633  0.944  0.336
Ta  0.012  0.223  0.971
Ta  0.366  0.056  0.664
Ta  0.988  0.777  0.029
Nb  0.500  0.500  0.000
Nb  0.690  0.404  0.651
Nb  0.967  0.276  0.342
Nb  0.033  0.724  0.658
Nb  0.310  0.596  0.349
Fe  0.500  0.000  0.000


Entry 5:
This record from the Alexandria database describes a relaxed structure of Tb4Pm2PrNd2. The functional is PBE.

- Calculated formation energy: 0.00 eV per atom
- Fermi-level density of states: 12.03 states/eV/f.u.
- SG: No. 12

Cell lengths 3.658, 9.662, 9.717 Å; angles 115.22, 90.00, 100.91 degrees
Positions (direct):
Pm  0.853  0.705  0.336
Pm  0.147  0.295  0.664
Tb  0.185  0.371  0.336
Tb  0.815  0.629  0.664
Tb  0.481  0.961  0.665
Tb  0.519  0.039  0.335
Nd  0.333  0.667  0.998
Nd  0.667  0.333  0.002
Pr  0.000  0.000  0.000


Entry 6:
This record from the Alexandria database describes a relaxed structure of BaAl2Ir. The functional is PBE.

- Calculated formation energy: -0.23 eV per atom
- Fermi-level density of states: 2.44 states/eV/f.u.
- SG: No. 25

Cell lengths 3.190, 3.605, 7.659 Å; angles 90.00, 90.00, 90.00 degrees
Positions (direct):
Al  0.000  0.000  0.962
Al  0.500  0.500  0.177
Ir  0.500  0.500  0.845
Ba  0.000  0.000  0.516


no.,total energy (eV/atom)
1,-5.31
2,-4.16
3,-8.11
4,-10.42
5,-4.70
6,-4.79